Computed, not measured: crystalline TlAs2WO8 at its relaxed geometry at the PBE with a Hubbard U level of DFT.

Values from the calculation:
- Calculated density: 5.41 g/cm³
- E: -223.7 eV/cell
- Fermi-level density of states: 0.1902 states/eV/atom

Cell: 5.1023 5.1023 27.2136 Å, 90.00 90.00 120.00°
Space group R-3 (No. 148, hexagonal axes)
Inequivalent atoms, fractional coordinates:
Tl 0.0000 0.0000 0.0000 (multiplicity 3)
As 0.0000 0.0000 0.2340 (multiplicity 6)
W 0.0000 0.0000 0.5000 (multiplicity 3)
O 0.0000 0.0000 0.2952 (multiplicity 6)
O 0.0015 0.6309 0.1235 (multiplicity 18)